Entry from Alexandria via LeMat-Bulk: a relaxed structure of LiAcTl2Br6 (GGA-PBE).

POSCAR file:
```
LiAcTl2Br6
1.0
7.7447 0.0000 0.0000
0.0000 8.1486 0.0000
-7.5383 0.0000 11.1424
Li Ac Tl Br
2 2 4 12
Direct
0.0000 0.0000 0.0000 Li
0.0000 0.5000 0.5000 Li
0.5000 0.0000 0.5000 Ac
0.5000 0.5000 0.0000 Ac
0.2176 0.0773 0.7441 Tl
0.2176 0.4227 0.2441 Tl
0.7824 0.5773 0.7559 Tl
0.7824 0.9227 0.2559 Tl
0.1297 0.2054 0.4468 Br
0.1297 0.2946 0.9468 Br
0.2425 0.6904 0.4463 Br
0.2425 0.8096 0.9463 Br
0.3458 0.0261 0.2374 Br
0.3458 0.4739 0.7374 Br
0.6542 0.5261 0.2626 Br
0.6542 0.9739 0.7626 Br
0.7575 0.1904 0.0537 Br
0.7575 0.3096 0.5537 Br
0.8703 0.7054 0.0532 Br
0.8703 0.7946 0.5532 Br
```

The value obtained for the density is 5.3 g/cm³. For the volume, the calculation gives 35.16 A^3/atom. The space group is P2_1/c. As for the raw formation energy: -1.45 eV per atom.